The following is a DFT calculation (GGA-PBE) of InI3Br after structural relaxation.

Lattice parameters (Å, degrees): 5.9116 5.9116 5.9116 90.00 90.00 90.00
Site moments in Bohr magnetons follow the coordinates.
Fractional positions:
I1 0.0000 0.5000 0.0000  0.09
I2 0.0000 0.0000 0.5000  0.11
I3 0.5000 0.0000 0.0000  0.13
Br1 0.5000 0.5000 0.5000  0.53
In1 0.0000 0.0000 0.0000  -0.01

Results
M_tot = 1.21 μB per formula unit
Excess energy over the best structure of this formula in the dataset = 36.5 kJ/mol of atoms


The following is a DFT calculation (GGA-PBE) of KBaSc2 after structural relaxation.

Lattice parameters (Å, degrees): 13.0654 13.0654 13.0654 15.88 15.88 15.88
Fractional positions:
Ba1 0.2500 0.2500 0.2500
K1 0.7500 0.7500 0.7500
Sc1 0.9956 0.9956 0.9956
Sc2 0.5044 0.5044 0.5044

Results
M_tot = 0.20 μB per formula unit
Excess energy over the best structure of this formula in the dataset = 22.6 kJ/mol of atoms
DFT formation energy = 0.576 eV per atom


The following is a DFT calculation (GGA-PBE) of Na3Tm3WS8 after structural relaxation.

Lattice parameters (Å, degrees): 7.6565 7.6568 8.1004 118.23 90.00 120.00
Site moments in Bohr magnetons follow the coordinates.
Fractional positions:
Na1 0.0000 0.0000 0.0000  0.00
Na2 0.0000 0.5000 0.0000  0.00
Na3 0.5000 0.5000 0.0000  0.00
Tm1 0.5000 0.0000 0.5000  0.04
Tm2 0.5000 0.5000 0.5000  0.04
Tm3 0.0000 0.5000 0.5000  0.04
W1 0.0000 0.0000 0.5000  1.38
S1 0.2582 0.5163 0.2747  0.00
S2 0.7418 0.4837 0.7253  0.00
S3 0.7749 0.5497 0.2885  0.00
S4 0.2251 0.4503 0.7115  0.00
S5 0.7750 0.0133 0.2887  0.00
S6 0.2250 0.9867 0.7113  0.00
S7 0.2384 0.0133 0.2887  0.00
S8 0.7616 0.9867 0.7113  0.00

Results
M_tot = 2.00 μB per formula unit


Density in g/cm3, matching the order above: 4.6 3.0 4.9
Total DFT energy (no corrections) in eV per cell, matching the order above: -9.0 -13.4 -85.9